First-principles (PBE) data for a relaxed Zr4CdBr crystal, as listed in Alexandria.

Properties
Total energy in Ha/atom: -0.2109
V in Å³/f.u.: 144.26
M_tot in μB per formula unit: 0.0
Space group: F-43m

```
6
Lattice="0.000 4.163 4.163 4.163 0.000 4.163 4.163 4.163 0.000" Properties=species:S:1:pos:R:3 pbc="T T T"
Zr 3.143 3.143 3.143
Zr 5.182 5.182 3.143
Zr 5.182 3.143 5.182
Zr 3.143 5.182 5.182
Cd 6.244 6.244 6.244
Br 0.000 0.000 0.000
```